Computed, not measured: Mg17Ir12 at its PBEsol-relaxed geometry at the meta-GGA SCAN level of DFT.

abc: 9.8244 9.8244 9.8244
angles: 90.00 90.00 90.00
Last column: nearest neighbours and their distance in Å.
Space group I-43m (No. 217)
Asymmetric unit:
Mg  0.0000  0.0000  0.0000  4 Mg 3.00, 12 Ir 3.01
Mg  0.0413  0.3585  0.3585  5 Ir 2.68-2.93, 7 Mg 2.82-2.96
Mg  0.1765  0.1765  0.8235  4 Mg 2.82-3.00, 6 Ir 2.93
Ir  0.0903  0.0903  0.2786  3 Ir 2.51-2.62, 3 Mg 2.68-2.79

Calculated values
The density of states at the Fermi level is 0.63 states/eV/atom. The formation energy is -459 meV/atom. The total energy is -1902.1 eV/cell. As for the total moment: 0.002 Bohr magnetons per cell.